A plane-wave DFT calculation with PBE was carried out for a geometry-optimized YCdGePt structure.

Geometry as extended XYZ:
```
4
Lattice="4.861 0.000 0.000 2.430 4.209 0.000 2.430 1.403 3.969" Properties=species:S:1:pos:R:3 pbc="T T T"
Y 4.861 2.806 1.984
Ge 2.430 1.403 0.992
Pt 7.291 4.209 2.976
Cd 0.000 0.000 0.000
```

calculated volume	81.2	Å³/f.u.
E_tot	-5.07	eV/atom
space group	No. 216
E_form	-0.565	eV per atom